Density functional theory data (PBE) for a relaxed HoAg2TeO6 crystal.

```
HoAg2TeO6
1.0
-1.673 -3.650 -4.030
-3.540 -4.256 1.309
-5.469 0.165 -1.894
O Ag Ho Te
6 2 1 1
Direct
0.986 0.540 0.288
0.186 0.986 0.287
0.446 0.647 0.814
0.540 0.186 0.288
0.647 0.093 0.814
0.093 0.446 0.814
0.068 0.068 0.796
0.562 0.562 0.312
0.816 0.816 0.551
0.316 0.316 0.051
```

## Properties
* ΔE_f (raw): -1.2960 eV per atom